# BaSr3Pb

A geometry-optimized BaSr3Pb structure (PBE, Alexandria).

Geometry as CIF:
```
data_BaSr3Pb
_cell_length_a 6.369
_cell_length_b 6.369
_cell_length_c 6.369
_cell_angle_alpha 90.00
_cell_angle_beta 90.00
_cell_angle_gamma 90.00
_space_group_name_H-M_alt 'P m -3 m'
_space_group_IT_number 221
_space_group_name_Hall '-P 4 2 3'
loop_
_atom_site_label
_atom_site_fract_x
_atom_site_fract_y
_atom_site_fract_z
Ba1 0.000 0.000 0.000
Sr1 0.000 0.000 0.500
Pb1 0.500 0.500 0.500
```

Results
Calculated formation energy (eV per atom): 0.77
Offset from the most stable computed form (meV/atom): 919
Total moment (μB/atom): 0.4022

=====

# BaSr2Pb6

A geometry-optimized BaSr2Pb6 structure (PBE, Alexandria).

Geometry as CIF:
```
data_BaSr2Pb6
_cell_length_a 9.732
_cell_length_b 16.819
_cell_length_c 3.894
_cell_angle_alpha 90.00
_cell_angle_beta 90.00
_cell_angle_gamma 90.00
_space_group_name_H-M_alt 'C m m m'
_space_group_IT_number 65
_space_group_name_Hall '-C 2 2'
loop_
_atom_site_label
_atom_site_fract_x
_atom_site_fract_y
_atom_site_fract_z
Ba1 0.000 0.000 0.000
Sr1 0.000 0.333 0.000
Pb1 0.163 0.500 0.500
Pb2 0.168 0.169 0.500
```

Results
Calculated formation energy (eV per atom): -0.38
Total moment (μB/atom): 0.0000

=====

# BaSrPb

A geometry-optimized BaSrPb structure (PBE, Alexandria).

Geometry as CIF:
```
data_BaSrPb
_cell_length_a 9.0857
_cell_length_b 9.0857
_cell_length_c 5.4372
_cell_angle_alpha 90.00
_cell_angle_beta 90.00
_cell_angle_gamma 120.00
_space_group_name_H-M_alt 'P -6 2 m'
_space_group_IT_number 189
_space_group_name_Hall 'P -6 -2'
loop_
_atom_site_label
_atom_site_fract_x
_atom_site_fract_y
_atom_site_fract_z
Ba1 0.0000 0.4190 0.0000
Sr1 0.0000 0.7443 0.5000
Pb1 0.0000 0.0000 0.0000
Pb2 0.3333 0.6667 0.5000
```

Results
Calculated formation energy (eV per atom): -0.54
Total moment (μB/atom): 0.0000

=====

# BaSrPb4

A geometry-optimized BaSrPb4 structure (PBE, Alexandria).

Geometry as CIF:
```
data_BaSrPb4
_cell_length_a 9.520
_cell_length_b 9.520
_cell_length_c 9.520
_cell_angle_alpha 90.00
_cell_angle_beta 90.00
_cell_angle_gamma 90.00
_space_group_name_H-M_alt 'F -4 3 m'
_space_group_IT_number 216
_space_group_name_Hall 'F -4 2 3'
loop_
_atom_site_label
_atom_site_fract_x
_atom_site_fract_y
_atom_site_fract_z
Ba1 0.000 0.000 0.000
Sr1 0.250 0.250 0.750
Pb1 0.128 0.128 0.372
```

Results
Calculated formation energy (eV per atom): -0.39
Total moment (μB/atom): 0.0000